Here is an optimized crystal structure of Ac8Ge3OsI4 from the Alexandria database. Energies are from GGA-PBE.

## Properties
Energy relative to the elements, uncorrected ... -0.896 eV/atom

Lattice parameters (Å, degrees): 9.7906 9.7906 9.7906 56.07 56.07 56.07
Element x y z (fractional)
Ac 0.2346 0.2346 0.2346
Ac 0.2489 0.7220 0.7220
Ac 0.2780 0.2780 0.7511
Ac 0.2780 0.7511 0.2780
Ac 0.7220 0.2489 0.7220
Ac 0.7220 0.7220 0.2489
Ac 0.7511 0.2780 0.2780
Ac 0.7654 0.7654 0.7654
Ge 0.0000 0.0000 0.5000
Ge 0.0000 0.5000 0.0000
Ge 0.5000 0.0000 0.0000
Os 0.5000 0.5000 0.5000
I 0.0000 0.0000 0.0000
I 0.0000 0.5000 0.5000
I 0.5000 0.0000 0.5000
I 0.5000 0.5000 0.0000



Here is an optimized crystal structure of Cd2POs from the Alexandria database. Energies are from GGA-PBE.

## Properties
Formation energy ... 0.500 eV per atom
Energy above the most stable polymorph in this dataset ... 442 meV/atom

Lattice parameters (Å, degrees): 3.0903 5.2049 4.6191 90.00 90.25 90.00
Element x y z (fractional)
Cd 0.2439 0.0000 0.2523
Cd 0.7561 0.0000 0.7477
P 0.5000 0.5000 0.0000
Os 0.5000 0.5000 0.5000



Here is an optimized crystal structure of TlCuTe2 from the Alexandria database. Energies are from GGA-PBE.

## Properties
Energy relative to the elements, uncorrected ... 0.064 eV/atom

Lattice parameters (Å, degrees): 4.3240 4.3240 8.2106 90.00 90.00 123.75
Element x y z (fractional)
Tl 0.0000 0.0000 0.0000
Cu 0.0000 0.0000 0.5000
Te 0.5000 0.5000 0.3049
Te 0.5000 0.5000 0.6951



Here is an optimized crystal structure of TaTl2Cl7 from the Alexandria database. Energies are from GGA-PBE.

## Properties
Energy relative to the elements, uncorrected ... -1.138 eV/atom

Lattice parameters (Å, degrees): 9.0965 9.0965 12.3526 123.26 123.26 51.56
Element x y z (fractional)
Ta 0.2147 0.7853 0.7500
Ta 0.7853 0.2147 0.2500
Tl 0.1372 0.6121 0.9591
Tl 0.3879 0.8628 0.5409
Tl 0.6121 0.1372 0.4591
Tl 0.8628 0.3879 0.0409
Cl 0.0342 0.3065 0.3236
Cl 0.0868 0.7603 0.5125
Cl 0.1102 0.8898 0.2500
Cl 0.2397 0.9132 0.9875
Cl 0.3065 0.0342 0.8236
Cl 0.4089 0.4723 0.8039
Cl 0.4723 0.4089 0.3039
Cl 0.5277 0.5911 0.6961
Cl 0.5911 0.5277 0.1961
Cl 0.6935 0.9658 0.1764
Cl 0.7603 0.0868 0.0125
Cl 0.8898 0.1102 0.7500
Cl 0.9132 0.2397 0.4875
Cl 0.9658 0.6935 0.6764



Here is an optimized crystal structure of Zn2CoHg from the Alexandria database. Energies are from GGA-PBE.

## Properties
Formation energy ... 0.186 eV per atom

Lattice parameters (Å, degrees): 3.1227 3.1227 6.3031 90.00 90.00 90.00
Element x y z (fractional)
Zn 0.0000 0.0000 0.0000
Zn 0.5000 0.5000 0.2398
Co 0.0000 0.0000 0.4188
Hg 0.5000 0.5000 0.6974



Here is an optimized crystal structure of Sc2NCl from the Alexandria database. Energies are from GGA-PBE.

## Properties
Energy relative to the elements, uncorrected ... -0.717 eV/atom

Lattice parameters (Å, degrees): 4.2872 4.2872 4.2872 60.00 60.00 60.00
Element x y z (fractional)
Sc 0.2500 0.2500 0.2500
Sc 0.7500 0.7500 0.7500
N 0.0000 0.0000 0.0000
Cl 0.5000 0.5000 0.5000



Here is an optimized crystal structure of NaSrInS3 from the Alexandria database. Energies are from GGA-PBE.

## Properties
Energy relative to the elements, uncorrected ... -1.194 eV/atom

Lattice parameters (Å, degrees): 7.2389 7.2389 11.9974 90.00 90.00 148.01
Element x y z (fractional)
Na 0.0000 0.0000 0.0000
Na 0.0000 0.0000 0.5000
Sr 0.2245 0.7755 0.7500
Sr 0.7755 0.2245 0.2500
In 0.4904 0.5096 0.2500
In 0.5096 0.4904 0.7500
S 0.1041 0.8959 0.2500
S 0.3755 0.6245 0.0956
S 0.3755 0.6245 0.4044
S 0.6245 0.3755 0.5956
S 0.6245 0.3755 0.9044
S 0.8959 0.1041 0.7500



Here is an optimized crystal structure of SiP2Se from the Alexandria database. Energies are from GGA-PBE.

## Properties
Energy above the most stable polymorph in this dataset ... 263 meV/atom
Energy relative to the elements, uncorrected ... 0.211 eV/atom

Lattice parameters (Å, degrees): 3.6116 3.6116 5.3193 90.00 90.00 90.00
Element x y z (fractional)
Si 0.0000 0.0000 0.0000
P 0.0000 0.0000 0.4437
P 0.5000 0.5000 0.4593
Se 0.5000 0.5000 0.9403



Here is an optimized crystal structure of RePtPb3 from the Alexandria database. Energies are from GGA-PBE.

## Properties
Formation energy ... 0.870 eV per atom
Energy above the most stable polymorph in this dataset ... 0 meV/atom

Lattice parameters (Å, degrees): 5.2590 5.2590 5.2590 90.00 90.00 90.00
Element x y z (fractional)
Re 0.0000 0.0000 0.0000
Pt 0.5000 0.5000 0.5000
Pb 0.0000 0.0000 0.5000
Pb 0.0000 0.5000 0.0000
Pb 0.5000 0.0000 0.0000



Here is an optimized crystal structure of K3PtAu from the Alexandria database. Energies are from GGA-PBE.

## Properties
Formation energy ... -0.159 eV per atom
Energy above the most stable polymorph in this dataset ... 0 meV/atom

Lattice parameters (Å, degrees): 6.8192 6.8192 10.3063 104.85 104.85 48.30
Element x y z (fractional)
K 0.0745 0.0745 0.2163
K 0.3578 0.3578 0.5175
K 0.3616 0.3616 0.1425
K 0.6384 0.6384 0.8575
K 0.6422 0.6422 0.4825
K 0.9255 0.9255 0.7837
Pt 0.0886 0.0886 0.6002
Pt 0.9114 0.9114 0.3998
Au 0.2781 0.2781 0.8004
Au 0.7219 0.7219 0.1996



Here is an optimized crystal structure of Li3RhCl from the Alexandria database. Energies are from GGA-PBE.

## Properties
Energy above the most stable polymorph in this dataset ... 260 meV/atom
Energy relative to the elements, uncorrected ... 0.013 eV/atom

Lattice parameters (Å, degrees): 4.8644 4.8644 4.8644 90.00 90.00 90.00
Element x y z (fractional)
Li 0.0000 0.0000 0.5000
Li 0.0000 0.5000 0.0000
Li 0.5000 0.0000 0.0000
Rh 0.0000 0.0000 0.0000
Cl 0.5000 0.5000 0.5000



Here is an optimized crystal structure of Mn4VGe2 from the Alexandria database. Energies are from GGA-PBE.

## Properties
Formation energy ... 0.643 eV per atom
Energy above the most stable polymorph in this dataset ... 663 meV/atom

Lattice parameters (Å, degrees): 7.2356 7.2356 7.2356 146.15 146.15 48.62
Element x y z (fractional)
Mn 0.0000 0.5000 0.5000
Mn 0.1855 0.1855 0.0000
Mn 0.5000 0.0000 0.5000
Mn 0.8145 0.8145 0.0000
V 0.0000 0.0000 0.0000
Ge 0.3751 0.3751 0.0000
Ge 0.6249 0.6249 0.0000



Number 1: N(E_F) 13.69 states/eV per cell. Number 2: N(E_F) 2.24 states/eV per cell. Number 3: N(E_F) 2.71 states/eV per cell. Number 4: N(E_F) 0.00 states/eV per cell. Number 5: N(E_F) 2.96 states/eV per cell. Number 6: N(E_F) 2.10 states/eV per cell. Number 7: N(E_F) 0.00 states/eV per cell. Number 8: N(E_F) 0.93 states/eV per cell. Number 9: N(E_F) 5.49 states/eV per cell. Number 10: N(E_F) 2.69 states/eV per cell. Number 11: N(E_F) 16.79 states/eV per cell. Number 12: N(E_F) 6.30 states/eV per cell.